*A*
A plane-wave DFT calculation with PBE was carried out for a geometry-optimized LaTi3P structure.

Density of states at the Fermi level ... 1.735 states/eV per atom

a b c (Å): 4.736 4.736 4.736
angles (deg): 90.00 90.00 90.00
Fractional coordinates of all 5 atoms:
1 La 0.000 0.000 0.000
2 Ti 0.000 0.500 0.500
3 Ti 0.500 0.000 0.500
4 Ti 0.500 0.500 0.000
5 P 0.500 0.500 0.500



*B*
A plane-wave DFT calculation with PBE was carried out for a geometry-optimized LaTi3P structure.

Density of states at the Fermi level ... 1.349 states/eV per atom

a b c (Å): 4.748 4.748 4.748
angles (deg): 90.00 90.00 90.00
Fractional coordinates of all 5 atoms:
1 La 0.000 0.000 0.000
2 Ti 0.000 0.000 0.500
3 Ti 0.000 0.500 0.000
4 Ti 0.500 0.000 0.000
5 P 0.500 0.500 0.500



Least stable of them? *B*.